Entry 1:
## LaCuTe2 (PBE)

Data for an optimized crystal structure of LaCuTe2.

a = 6.3382 Å, b = 6.3382 Å, c = 6.3382 Å
α = 139.30°, β = 139.30°, γ = 58.92°
Last column: nearest neighbours and their distance in Å.
Fractional coordinates of all 4 atoms:
La 0.0000 0.0000 0.0000  4 Te 3.12
Cu 0.7500 0.2500 0.5000  4 Te 3.12
Te 0.2500 0.7500 0.5000  4 Cu 3.12
Te 0.5000 0.5000 0.0000  4 La 3.12

Computed properties:
The value obtained for the uncorrected formation energy is -0.632 eV per atom. Its density of states at the Fermi level is 2.12 states/eV/f.u. As for the total magnetization: 0.0 μB per formula unit.


Entry 2:
## LaCu2Te (PBE)

Data for an optimized crystal structure of LaCu2Te.

a = 3.7769 Å, b = 3.7769 Å, c = 6.7010 Å
α = 90.00°, β = 90.00°, γ = 90.00°
Last column: nearest neighbours and their distance in Å.
Fractional coordinates of all 4 atoms:
La 0.0000 0.0000 0.0000  1 Cu 2.82
Cu 0.0000 0.0000 0.5789  4 Cu 2.71, 1 La 2.82
Cu 0.5000 0.5000 0.6502  1 Te 2.66, 4 Cu 2.71
Te 0.5000 0.5000 0.2530  1 Cu 2.66

Computed properties:
The value obtained for the uncorrected formation energy is -0.219 eV per atom. Its density of states at the Fermi level is 1.58 states/eV/f.u. As for the total magnetization: 0.0 μB per formula unit.


Entry 3:
## LaCuTe2 (PBE)

Data for an optimized crystal structure of LaCuTe2.

a = 7.2298 Å, b = 8.1296 Å, c = 7.7353 Å
α = 90.00°, β = 95.56°, γ = 90.00°
Last column: nearest neighbours and their distance in Å.
Fractional coordinates of all 16 atoms:
La 0.1932 0.0472 0.3010  7 Te 3.19-3.49, 1 Cu 3.55
La 0.1932 0.4528 0.8010  7 Te 3.19-3.49, 1 Cu 3.55
La 0.8068 0.5472 0.1990  7 Te 3.19-3.49, 1 Cu 3.55
La 0.8068 0.9528 0.6990  7 Te 3.19-3.49, 1 Cu 3.55
Cu 0.4423 0.6549 0.4531  4 Te 2.65-2.79, 1 Cu 2.73
Cu 0.4423 0.8451 0.9531  4 Te 2.65-2.79, 1 Cu 2.73
Cu 0.5577 0.1549 0.0469  4 Te 2.65-2.79, 1 Cu 2.73
Cu 0.5577 0.3451 0.5469  4 Te 2.65-2.79, 1 Cu 2.73
Te 0.0905 0.7197 0.4968  1 Cu 2.65
Te 0.0905 0.7803 0.9968  1 Cu 2.65
Te 0.3974 0.1096 0.7232  3 Cu 2.68-2.79
Te 0.3974 0.3904 0.2232  3 Cu 2.68-2.79
Te 0.6026 0.6096 0.7768  3 Cu 2.68-2.79
Te 0.6026 0.8904 0.2768  3 Cu 2.68-2.79
Te 0.9095 0.2197 0.0032  1 Cu 2.65
Te 0.9095 0.2803 0.5032  1 Cu 2.65

Computed properties:
The value obtained for the uncorrected formation energy is -1.019 eV per atom. As for the total magnetization: 0.0 μB per formula unit.


Entry 4:
## LaCu2Te (PBE)

Data for an optimized crystal structure of LaCu2Te.

a = 5.7335 Å, b = 5.7335 Å, c = 4.4698 Å
α = 111.84°, β = 111.84°, γ = 114.70°
Last column: nearest neighbours and their distance in Å.
Fractional coordinates of all 4 atoms:
La 0.0000 0.0000 0.0000  4 Cu 2.91, 4 Te 3.09-3.24
Cu 0.0000 0.5000 0.5000  2 La 2.91, 2 Te 2.91, 4 Cu 3.09-3.24
Cu 0.5000 0.0000 0.5000  2 La 2.91, 2 Te 2.91, 4 Cu 3.09-3.24
Te 0.5000 0.5000 0.0000  4 Cu 2.91, 4 La 3.09-3.24

Computed properties:
The value obtained for the uncorrected formation energy is -0.094 eV per atom. Its density of states at the Fermi level is 2.20 states/eV/f.u. As for the total magnetization: 0.0 μB per formula unit.


no.,final energy (eV per atom)
1,-4.458
2,-4.285
3,-4.845
4,-4.160